Entry 1:
A plane-wave DFT calculation with PBE was carried out for a geometry-optimized Li2YCr structure.

Geometry as POSCAR:
```
Li2YCr
1.0
-1.250 4.204 -3.827
-3.772 1.766 -4.066
-3.256 3.217 1.546
Cr Li Y
1 2 1
direct
0.750 0.750 0.750 Cr
0.022 0.022 0.979 Li
0.478 0.478 0.521 Li
0.250 0.250 0.250 Y
```

ΔE_f: 350.2 meV/atom
SG: No. 71
Energy: -0.3402 Ry/atom
Energy above the most stable polymorph in this dataset: 0.0215 eV/atom


Entry 2:
A plane-wave DFT calculation with PBE was carried out for a geometry-optimized LiYCr2 structure.

Geometry as POSCAR:
```
LiYCr2
1.0
-2.348 -3.062 2.663
3.867 -2.624 0.375
0.122 4.531 1.199
Cr Li Y
2 1 1
direct
0.000 0.000 0.000 Cr
0.250 0.750 0.500 Cr
0.500 0.500 0.000 Li
0.750 0.250 0.500 Y
```

ΔE_f: 364.1 meV/atom
SG: No. 119
Energy: -0.4808 Ry/atom
Energy above the most stable polymorph in this dataset: 0.0032 eV/atom


Entry 3:
A plane-wave DFT calculation with PBE was carried out for a geometry-optimized Li2YCr structure.

Geometry as POSCAR:
```
Li2YCr
1.0
5.557 0.384 0.000
-2.755 4.842 0.000
0.000 0.000 3.111
Cr Li Y
1 2 1
direct
0.000 0.500 0.500 Cr
0.000 0.000 0.000 Li
0.500 0.500 0.000 Li
0.500 0.000 0.500 Y
```

ΔE_f: 511.7 meV/atom
SG: No. 65
Energy: -0.3283 Ry/atom
Energy above the most stable polymorph in this dataset: 0.1830 eV/atom


Entry 4:
A plane-wave DFT calculation with PBE was carried out for a geometry-optimized LiYCr2 structure.

Geometry as POSCAR:
```
LiYCr2
1.0
3.128 0.000 0.000
0.000 3.128 0.000
0.000 0.000 7.619
Cr Li Y
2 1 1
direct
0.000 0.000 0.067 Cr
0.500 0.500 0.205 Cr
0.000 0.000 0.443 Li
0.500 0.500 0.785 Y
```

ΔE_f: 360.8 meV/atom
SG: No. 99
Energy: -0.4811 Ry/atom
Energy above the most stable polymorph in this dataset: 0.0000 eV/atom


Entry 5:
A plane-wave DFT calculation with PBE was carried out for a geometry-optimized LiYCr structure.

Geometry as POSCAR:
```
LiYCr
1.0
-1.825 0.874 -4.153
0.417 -3.095 -3.404
-3.699 -2.362 -1.440
Cr Li Y
1 1 1
direct
0.500 0.500 0.500 Cr
0.750 0.750 0.750 Li
0.000 0.000 0.000 Y
```

ΔE_f: 749.0 meV/atom
SG: No. 216
Energy: -0.3860 Ry/atom
Energy above the most stable polymorph in this dataset: 0.3312 eV/atom


Entry 6:
A plane-wave DFT calculation with PBE was carried out for a geometry-optimized Li2YCr structure.

Geometry as POSCAR:
```
Li2YCr
1.0
-2.889 -0.251 2.888
-2.104 -2.622 -2.334
2.731 -9.653 4.794
Y Cr Li
2 2 4
direct
0.000 0.000 0.000 Y
0.750 0.250 0.500 Y
0.500 0.500 0.000 Cr
0.250 0.750 0.500 Cr
0.175 0.125 0.250 Li
0.575 0.625 0.250 Li
0.375 0.825 0.750 Li
0.875 0.425 0.750 Li
```

ΔE_f: 491.1 meV/atom
SG: No. 122
Energy: -0.3298 Ry/atom
Energy above the most stable polymorph in this dataset: 0.1624 eV/atom


Entry 7:
A plane-wave DFT calculation with PBE was carried out for a geometry-optimized LiYCr2 structure.

Geometry as POSCAR:
```
LiYCr2
1.0
9.619 -0.305 -0.178
9.186 2.868 -0.178
9.186 1.252 2.586
Cr Li Y
2 1 1
direct
0.997 0.997 0.997 Cr
0.503 0.503 0.503 Cr
0.250 0.250 0.250 Li
0.750 0.750 0.750 Y
```

ΔE_f: 790.3 meV/atom
SG: No. 166
Energy: -0.4495 Ry/atom
Energy above the most stable polymorph in this dataset: 0.4295 eV/atom


Entry 8:
A plane-wave DFT calculation with PBE was carried out for a geometry-optimized LiYCr structure.

Geometry as POSCAR:
```
LiYCr
1.0
-3.297 2.721 -2.161
-0.613 -4.743 0.272
-1.570 0.367 2.859
Cr Li Y
1 1 1
direct
0.000 0.000 0.167 Cr
0.333 0.667 0.166 Li
0.667 0.333 0.667 Y
```

ΔE_f: 428.2 meV/atom
SG: No. 187
Energy: -0.4095 Ry/atom
Energy above the most stable polymorph in this dataset: 0.0104 eV/atom


Entry 9:
A plane-wave DFT calculation with PBE was carried out for a geometry-optimized LiYCr structure.

Geometry as POSCAR:
```
LiYCr
1.0
-2.551 1.457 1.591
-0.563 -2.580 -2.048
0.849 -4.633 5.604
Cr Li Y
1 1 1
direct
0.000 0.000 0.008 Cr
0.333 0.667 0.307 Li
0.667 0.333 0.686 Y
```

ΔE_f: 593.9 meV/atom
SG: No. 156
Energy: -0.3974 Ry/atom
Energy above the most stable polymorph in this dataset: 0.1761 eV/atom


Entry 10:
A plane-wave DFT calculation with PBE was carried out for a geometry-optimized LiYCr structure.

Geometry as POSCAR:
```
LiYCr
1.0
5.665 -0.004 0.000
3.413 4.522 0.000
-4.539 -2.259 2.528
Cr Li Y
1 1 1
direct
0.985 0.985 0.000 Cr
0.355 0.355 0.000 Li
0.660 0.660 0.000 Y
```

ΔE_f: 417.8 meV/atom
SG: No. 107
Energy: -0.4103 Ry/atom
Energy above the most stable polymorph in this dataset: 0.0000 eV/atom


Entry 11:
A plane-wave DFT calculation with PBE was carried out for a geometry-optimized LiYCr4 structure.

Geometry as POSCAR:
```
LiYCr4
1.0
0.000 3.565 3.565
3.565 0.000 3.565
3.565 3.565 0.000
Li Y Cr
1 1 4
direct
0.750 0.750 0.750 Li
0.000 0.000 0.000 Y
0.874 0.375 0.375 Cr
0.375 0.375 0.874 Cr
0.375 0.874 0.375 Cr
0.375 0.375 0.375 Cr
```

ΔE_f: 531.7 meV/atom
SG: No. 216
Energy: -0.5351 Ry/atom


Entry 12:
A plane-wave DFT calculation with PBE was carried out for a geometry-optimized Li2YCr2 structure.

Geometry as POSCAR:
```
Li2YCr2
1.0
-1.813 2.925 -6.997
5.994 -3.855 -3.164
-1.677 -2.208 -0.488
Y Cr Li
2 4 4
direct
0.000 0.000 0.000 Y
0.500 0.500 0.000 Y
0.085 0.585 0.500 Cr
0.585 0.915 0.500 Cr
0.915 0.415 0.500 Cr
0.415 0.085 0.500 Cr
0.303 0.803 0.000 Li
0.803 0.697 0.000 Li
0.697 0.197 0.000 Li
0.197 0.303 0.000 Li
```

ΔE_f: 685.4 meV/atom
SG: No. 127
Energy: -0.3838 Ry/atom
Energy above the most stable polymorph in this dataset: 0.0000 eV/atom


- The lowest ΔE_f belongs to which entry?
  number 1


- Which value of energy does entry 5 give?
  -0.3860 Ry/atom


- ΔE_f of number 4 (LiYCr2)?
  360.8 meV/atom


- Number 11 is which compound?
  LiYCr4